# 1
The following is a PBE calculation of a geometry-optimized Cs2ErPdI6 structure, from Alexandria.

Structure (extended XYZ):
```
20
Lattice="4.230 2.442 13.898 -4.230 2.442 13.898 0.000 -4.884 13.898" Properties=species:S:1:pos:R:3 pbc="T T T"
Cs 0.000 0.000 5.026
Cs 0.000 0.000 12.333
Cs 0.000 0.000 29.363
Cs 0.000 0.000 36.670
Er 0.000 0.000 17.396
Er 0.000 0.000 24.299
Pd 0.000 0.000 0.000
Pd 0.000 0.000 20.848
I -2.102 -1.213 19.167
I 0.000 -2.461 15.634
I -2.131 1.230 15.634
I -2.131 -1.230 26.062
I 0.000 -2.427 22.529
I -2.102 1.213 22.529
I 2.102 -1.213 19.167
I 0.000 2.427 19.167
I 2.131 1.230 15.634
I 2.131 -1.230 26.062
I 0.000 2.461 26.062
I 2.102 1.213 22.529
```

Output
The theoretical density is 5.02 g/cm³. Its space group is No. 166. The magnetic moment is 2.1 μB per cell. The value obtained for the formation energy from raw total energies is -110 kJ per mole of atoms. For the total energy, the calculation gives -0.23656 Ry per atom.

---

# 2
The following is a PBE calculation of a geometry-optimized CsErPuI6 structure, from Alexandria.

Structure (extended XYZ):
```
9
Lattice="8.009 0.000 0.000 -4.004 6.936 0.000 0.000 0.000 8.755" Properties=species:S:1:pos:R:3 pbc="T T T"
Cs 0.000 0.000 0.000
Er 4.004 2.312 4.377
Pu 0.000 4.624 4.377
I 2.933 0.113 6.173
I 1.565 2.483 2.582
I 5.076 0.113 2.582
I 2.636 4.339 6.173
I 6.444 2.483 6.173
I 5.372 4.339 2.582
```

Output
The theoretical density is 4.46 g/cm³. Its space group is No. 149. The magnetic moment is 6.0 μB per cell. The value obtained for the formation energy from raw total energies is -126 kJ per mole of atoms. For the total energy, the calculation gives -0.33343 Ry per atom.

---

# 3
The following is a PBE calculation of a geometry-optimized CsErSn2I8 structure, from Alexandria.

Structure (extended XYZ):
```
12
Lattice="7.711 0.000 0.000 1.226 7.890 0.000 1.459 2.378 10.101" Properties=species:S:1:pos:R:3 pbc="T T T"
Cs 0.000 0.000 0.000
Er 0.729 1.189 5.050
Sn 4.522 4.061 2.383
Sn 5.874 6.206 7.718
I 3.050 7.469 7.435
I 3.082 7.051 3.172
I 3.260 2.838 4.924
I 3.493 2.138 0.374
I 6.903 8.129 9.727
I 7.136 7.430 5.177
I 7.314 3.216 6.929
I 7.345 2.798 2.666
```

Output
The theoretical density is 4.20 g/cm³. Its space group is No. 2. The magnetic moment is 0.0 μB per cell. The value obtained for the formation energy from raw total energies is -88 kJ per mole of atoms. For the total energy, the calculation gives -0.22544 Ry per atom.